The following is a PBE-GGA calculation of a relaxed Ir2RhSe crystal, from Alexandria.

Lattice parameters (Å, degrees): 5.1999 5.1999 7.2421 68.96 68.96 90.00
Atoms (fractional coordinates):
Ir1 0.6112 0.1250 0.2500
Ir2 0.1388 0.6250 0.2500
Ir3 0.3750 0.3888 0.7500
Ir4 0.8750 0.8612 0.7500
Rh1 0.0000 0.0000 0.0000
Rh2 0.7500 0.2500 0.5000
Se1 0.5000 0.5000 0.0000
Se2 0.2500 0.7500 0.5000

Values from the calculation:
For the total energy, the calculation gives -6.380 eV per atom. Its space group is No. 122. The calculation puts the density of states at the Fermi level at 10.75 states/eV/cell. The value obtained for the formation energy (no corrections) is 0.7594 eV/atom. Its theoretical density is 11.15 g cm⁻³.

=====

The following is a PBE-GGA calculation of a relaxed LaErHg4 crystal, from Alexandria.

Lattice parameters (Å, degrees): 4.9981 4.9981 8.6911 106.67 106.67 120.04
Atoms (fractional coordinates):
La1 0.5014 0.4972 0.9981
Er1 0.0012 0.9973 0.4981
Hg1 0.4335 0.0962 0.2639
Hg2 0.5690 0.8984 0.7323
Hg3 0.9018 0.5645 0.7318
Hg4 0.1009 0.4302 0.2646

Values from the calculation:
For the total energy, the calculation gives -2.203 eV per atom. Its space group is No. 12. The energy of formation comes out at -0.420 eV/atom. The calculation puts the density of states at the Fermi level at 4.32 states/eV/cell. Its theoretical density is 11.96 g cm⁻³.

=====

The following is a PBE-GGA calculation of a relaxed La2YTe crystal, from Alexandria.

Lattice parameters (Å, degrees): 5.5787 5.5787 5.5787 60.00 60.00 60.00
Site moments in Bohr magnetons follow the coordinates.
Atoms (fractional coordinates):
La1 0.0000 0.0000 0.0000  0.35
La2 0.2500 0.2500 0.2500  0.11
Te1 0.5000 0.5000 0.5000  0.00
Y1 0.7500 0.7500 0.7500  0.17

Values from the calculation:
For the total energy, the calculation gives -5.176 eV per atom. Its space group is No. 216. The calculation puts the density of states at the Fermi level at 5.68 states/eV/cell. The value obtained for the formation energy (no corrections) is -0.3113 eV/atom. Its theoretical density is 6.69 g cm⁻³.

=====

The following is a PBE-GGA calculation of a relaxed Pr6Nd2Y crystal, from Alexandria.

Lattice parameters (Å, degrees): 6.3294 10.3526 10.3526 71.00 84.71 84.71
Atoms (fractional coordinates):
Pr1 0.4859 0.6874 0.4099
Pr2 0.0141 0.5901 0.3126
Pr3 0.5141 0.3126 0.5901
Pr4 0.9859 0.4099 0.6874
Pr5 0.6486 0.0782 0.3478
Pr6 0.8514 0.6522 0.9218
Pr7 0.3514 0.9218 0.6522
Pr8 0.1486 0.3478 0.0782
Pr9 0.3195 0.7430 0.0260
Pr10 0.1805 0.9740 0.2570
Pr11 0.6805 0.2570 0.9740
Pr12 0.8195 0.0260 0.7430
Nd1 0.4177 0.5646 0.7704
Nd2 0.0823 0.2296 0.4354
Nd3 0.5823 0.4354 0.2296
Nd4 0.9177 0.7704 0.5646
Y1 0.2500 0.1005 0.8995
Y2 0.7500 0.8995 0.1005

Values from the calculation:
For the total energy, the calculation gives -4.889 eV per atom. Its space group is No. 15. The energy of formation comes out at 0.076 eV/atom. The calculation puts the density of states at the Fermi level at 26.77 states/eV/cell. Its theoretical density is 6.37 g cm⁻³.

=====

The following is a PBE-GGA calculation of a relaxed Ti2VCBr crystal, from Alexandria.

Lattice parameters (Å, degrees): 4.7398 3.8093 4.7398 90.00 90.00 90.00
Atoms (fractional coordinates):
C1 0.0000 0.5000 0.0000
Ti1 0.0000 0.0000 0.5000
Ti2 0.5000 0.0000 0.0000
Br1 0.5000 0.5000 0.5000
V1 0.0000 0.0000 0.0000

Values from the calculation:
For the total energy, the calculation gives -6.367 eV per atom. Its space group is No. 123. The calculation puts the density of states at the Fermi level at 6.68 states/eV/cell. The value obtained for the formation energy (no corrections) is 0.7940 eV/atom. Its theoretical density is 4.63 g cm⁻³.

=====

The following is a PBE-GGA calculation of a relaxed HfCdP2 crystal, from Alexandria.

Lattice parameters (Å, degrees): 5.9450 5.9450 7.2216 65.69 65.69 90.00
Atoms (fractional coordinates):
P1 0.6411 0.1250 0.2500
P2 0.1089 0.6250 0.2500
P3 0.3750 0.3589 0.7500
P4 0.8750 0.8911 0.7500
Hf1 0.0000 0.0000 0.0000
Hf2 0.7500 0.2500 0.5000
Cd1 0.5000 0.5000 0.0000
Cd2 0.2500 0.7500 0.5000

Values from the calculation:
For the total energy, the calculation gives -5.806 eV per atom. Its space group is No. 122. The energy of formation comes out at -0.384 eV/atom. The calculation puts the density of states at the Fermi level at 0.00 states/eV/cell. Its theoretical density is 5.65 g cm⁻³.

=====

The following is a PBE-GGA calculation of a relaxed Pm3Nd2In crystal, from Alexandria.

Lattice parameters (Å, degrees): 6.9115 6.6296 9.4157 99.77 111.53 90.00
Atoms (fractional coordinates):
Pm1 0.7750 0.2500 0.0000
Pm2 0.2250 0.7500 0.0000
Pm3 0.0550 0.0357 0.3305
Pm4 0.7244 0.4643 0.6695
Pm5 0.2756 0.5357 0.3305
Pm6 0.9450 0.9643 0.6695
Nd1 0.7575 0.5753 0.3205
Nd2 0.5630 0.0753 0.3205
Nd3 0.4370 0.9247 0.6795
Nd4 0.2425 0.4247 0.6795
In1 0.7189 0.7500 0.0000
In2 0.2811 0.2500 0.0000

Values from the calculation:
For the total energy, the calculation gives -4.521 eV per atom. Its space group is No. 15. The energy of formation comes out at -0.100 eV/atom. The calculation puts the density of states at the Fermi level at 13.36 states/eV/cell. Its theoretical density is 7.06 g cm⁻³.

=====

The following is a PBE-GGA calculation of a relaxed LiZn3 crystal, from Alexandria.

Lattice parameters (Å, degrees): 2.7643 2.7643 8.9367 90.00 90.00 120.00
Atoms (fractional coordinates):
Zn1 0.0000 0.0000 0.5000
Zn2 0.6667 0.3333 0.2434
Zn3 0.6667 0.3333 0.7566
Li1 0.0000 0.0000 0.0000

Values from the calculation:
For the total energy, the calculation gives -1.518 eV per atom. Its space group is No. 187. The energy of formation comes out at -0.084 eV/atom. The calculation puts the density of states at the Fermi level at 0.89 states/eV/cell. Its theoretical density is 5.70 g cm⁻³.

=====

The following is a PBE-GGA calculation of a relaxed CuIrW2 crystal, from Alexandria.

Lattice parameters (Å, degrees): 3.8416 3.8408 3.9911 90.00 90.00 90.00
Atoms (fractional coordinates):
Cu1 0.5000 0.0000 0.5000
Ir1 0.0000 0.5000 0.5000
W1 0.0000 0.0000 0.0000
W2 0.5000 0.5000 0.0000

Values from the calculation:
For the total energy, the calculation gives -9.602 eV per atom. Its space group is No. 123. The energy of formation comes out at 0.114 eV/atom. The calculation puts the density of states at the Fermi level at 3.61 states/eV/cell. Its theoretical density is 17.58 g cm⁻³.

=====

The following is a PBE-GGA calculation of a relaxed La2Au crystal, from Alexandria.

Lattice parameters (Å, degrees): 4.9972 4.9972 4.0200 90.00 90.00 120.00
Atoms (fractional coordinates):
Au1 0.0000 0.0000 0.0000
La1 0.3333 0.6667 0.3069
La2 0.6667 0.3333 0.6931

Values from the calculation:
For the total energy, the calculation gives -4.808 eV per atom. Its space group is No. 164. The energy of formation comes out at -0.430 eV/atom. The calculation puts the density of states at the Fermi level at 2.60 states/eV/cell. Its theoretical density is 9.07 g cm⁻³.

=====

The following is a PBE-GGA calculation of a relaxed LiTb2AlO5 crystal, from Alexandria.

Lattice parameters (Å, degrees): 5.5797 6.4365 6.4365 90.00 90.00 90.00
Atoms (fractional coordinates):
Li1 0.0000 0.5000 0.5000
Li2 0.0000 0.0000 0.0000
Tb1 0.5000 0.6786 0.1786
Tb2 0.5000 0.1786 0.3214
Tb3 0.5000 0.8214 0.6786
Tb4 0.5000 0.3214 0.8214
Al1 0.0000 0.0000 0.5000
Al2 0.0000 0.5000 0.0000
O1 0.5000 0.5000 0.5000
O2 0.5000 0.0000 0.0000
O3 0.2347 0.1363 0.6363
O4 0.2347 0.8637 0.3637
O5 0.2347 0.3637 0.1363
O6 0.2347 0.6363 0.8637
O7 0.7653 0.1363 0.6363
O8 0.7653 0.6363 0.8637
O9 0.7653 0.8637 0.3637
O10 0.7653 0.3637 0.1363

Values from the calculation:
For the total energy, the calculation gives -7.256 eV per atom. Its space group is No. 127. The calculation puts the density of states at the Fermi level at 0.00 states/eV/cell. The value obtained for the formation energy (no corrections) is -2.8445 eV/atom. Its theoretical density is 6.20 g cm⁻³.

=====

The following is a PBE-GGA calculation of a relaxed Sb2TePdPt crystal, from Alexandria.

Lattice parameters (Å, degrees): 5.1583 5.1583 5.4584 90.00 90.00 90.00
Atoms (fractional coordinates):
Sb1 0.0000 0.5000 0.0000
Sb2 0.5000 0.0000 0.0000
Te1 0.0000 0.0000 0.5000
Pd1 0.5000 0.5000 0.5000
Pt1 0.0000 0.0000 0.0000

Values from the calculation:
For the total energy, the calculation gives -3.965 eV per atom. Its space group is No. 123. The calculation puts the density of states at the Fermi level at 4.44 states/eV/cell. The value obtained for the formation energy (no corrections) is 0.5592 eV/atom. Its theoretical density is 7.69 g cm⁻³.

=====

The following is a PBE-GGA calculation of a relaxed ReMo2HOs crystal, from Alexandria.

Lattice parameters (Å, degrees): 3.9920 3.9920 3.9509 90.00 90.00 90.00
Atoms (fractional coordinates):
Re1 0.0000 0.0000 0.5000
Mo1 0.0000 0.5000 0.0000
Mo2 0.5000 0.0000 0.0000
Os1 0.5000 0.5000 0.5000
H1 0.0000 0.0000 0.0000

Values from the calculation:
For the total energy, the calculation gives -9.631 eV per atom. Its space group is No. 123. The calculation puts the density of states at the Fermi level at 2.95 states/eV/cell. Its theoretical density is 15.02 g cm⁻³.

=====

The following is a PBE-GGA calculation of a relaxed Nd2PuSn3Pt4 crystal, from Alexandria.

Lattice parameters (Å, degrees): 4.6285 4.6285 11.0550 90.00 90.00 90.00
Site moments in Bohr magnetons follow the coordinates.
Atoms (fractional coordinates):
Nd1 0.5000 0.0000 0.2191  0.05
Nd2 0.0000 0.5000 0.7809  0.05
Pu1 0.5000 0.5000 0.5000  5.11
Sn1 0.0000 0.0000 0.5000  -0.04
Sn2 0.5000 0.0000 0.8764  0.01
Sn3 0.0000 0.5000 0.1236  0.01
Pt1 0.5000 0.5000 0.0000  0.01
Pt2 0.0000 0.0000 0.0000  0.02
Pt3 0.5000 0.0000 0.6417  -0.03
Pt4 0.0000 0.5000 0.3583  -0.03

Values from the calculation:
For the total energy, the calculation gives -6.807 eV per atom. Its space group is No. 115. The energy of formation comes out at -0.803 eV/atom. The calculation puts the density of states at the Fermi level at 11.16 states/eV/cell. Its theoretical density is 11.70 g cm⁻³.

=====

The following is a PBE-GGA calculation of a relaxed Th2Pt7 crystal, from Alexandria.

Lattice parameters (Å, degrees): 5.4430 5.4430 13.8631 78.68 78.68 60.00
Atoms (fractional coordinates):
Th1 0.0484 0.0484 0.8549
Th2 0.9516 0.9516 0.1451
Th3 0.1459 0.1459 0.5624
Th4 0.8541 0.8541 0.4376
Pt1 0.5000 0.5000 0.5000
Pt2 0.2775 0.2775 0.1674
Pt3 0.7225 0.7225 0.8326
Pt4 0.3891 0.3891 0.8327
Pt5 0.6109 0.6109 0.1673
Pt6 0.5000 0.0000 0.0000
Pt7 0.0000 0.5000 0.0000
Pt8 0.5000 0.5000 0.0000
Pt9 0.6141 0.6141 0.6639
Pt10 0.6141 0.1078 0.6639
Pt11 0.1078 0.6141 0.6639
Pt12 0.3859 0.3859 0.3361
Pt13 0.3859 0.8922 0.3361
Pt14 0.8922 0.3859 0.3361

Values from the calculation:
For the total energy, the calculation gives -7.293 eV per atom. Its space group is No. 166. The energy of formation comes out at -0.945 eV/atom. The calculation puts the density of states at the Fermi level at 13.78 states/eV/cell. Its theoretical density is 17.54 g cm⁻³.

=====

The following is a PBE-GGA calculation of a relaxed SmThHgAu crystal, from Alexandria.

Lattice parameters (Å, degrees): 5.3091 5.3091 5.3091 60.00 60.00 60.00
Site moments in Bohr magnetons follow the coordinates.
Atoms (fractional coordinates):
Sm1 0.7500 0.7500 0.7500  0.13
Au1 0.0000 0.0000 0.0000  0.02
Hg1 0.5000 0.5000 0.5000  0.01
Th1 0.2500 0.2500 0.2500  0.13

Values from the calculation:
For the total energy, the calculation gives -4.397 eV per atom. Its space group is No. 216. The energy of formation comes out at -0.467 eV/atom. The calculation puts the density of states at the Fermi level at 3.91 states/eV/cell. Its theoretical density is 12.24 g cm⁻³.

=====

The following is a PBE-GGA calculation of a relaxed Be2CuSe crystal, from Alexandria.

Lattice parameters (Å, degrees): 5.6444 5.6444 5.6444 35.36 35.36 35.36
Atoms (fractional coordinates):
Be1 0.9948 0.9948 0.9948
Be2 0.5052 0.5052 0.5052
Cu1 0.2500 0.2500 0.2500
Se1 0.7500 0.7500 0.7500

Values from the calculation:
For the total energy, the calculation gives -3.489 eV per atom. Its space group is No. 166. The calculation puts the density of states at the Fermi level at 1.39 states/eV/cell. The value obtained for the formation energy (no corrections) is 0.2693 eV/atom. Its theoretical density is 4.95 g cm⁻³.

=====

The following is a PBE-GGA calculation of a relaxed La4Ce3SmS8 crystal, from Alexandria.

Lattice parameters (Å, degrees): 8.1702 8.1869 8.1707 119.93 120.00 90.00
Site moments in Bohr magnetons follow the coordinates.
Atoms (fractional coordinates):
La1 0.5000 0.0000 0.0000  0.01
La2 0.5000 0.0000 0.5000  0.00
La3 0.0000 0.0000 0.0000  0.00
La4 0.0000 0.0000 0.5000  0.00
Ce1 0.5000 0.5000 0.0000  0.60
Ce2 0.5000 0.5000 0.5000  0.60
Ce3 0.0000 0.5000 0.5000  0.60
Sm1 0.0000 0.5000 0.0000  0.01
S1 0.2464 0.7405 0.9941  -0.01
S2 0.2464 0.7405 0.4928  -0.01
S3 0.2529 0.2585 0.5058  -0.01
S4 0.7477 0.7405 0.9941  -0.01
S5 0.2523 0.2595 0.0059  -0.01
S6 0.7471 0.7415 0.4942  -0.01
S7 0.7536 0.2595 0.5072  -0.01
S8 0.7536 0.2595 0.0059  -0.01

Values from the calculation:
For the total energy, the calculation gives -6.805 eV per atom. Its space group is No. 166. The calculation puts the density of states at the Fermi level at 19.35 states/eV/cell. The value obtained for the formation energy (no corrections) is -2.1018 eV/atom. Its theoretical density is 5.94 g cm⁻³.

=====

The following is a PBE-GGA calculation of a relaxed CdRh3Cl crystal, from Alexandria.

Lattice parameters (Å, degrees): 4.4296 4.4296 4.4296 90.00 90.00 90.00
Atoms (fractional coordinates):
Cl1 0.0000 0.0000 0.0000
Rh1 0.0000 0.5000 0.0000
Rh2 0.0000 0.0000 0.5000
Rh3 0.5000 0.0000 0.0000
Cd1 0.5000 0.5000 0.5000

Values from the calculation:
For the total energy, the calculation gives -4.445 eV per atom. Its space group is No. 221. The calculation puts the density of states at the Fermi level at 4.84 states/eV/cell. The value obtained for the formation energy (no corrections) is 0.5178 eV/atom. Its theoretical density is 8.72 g cm⁻³.

=====

The following is a PBE-GGA calculation of a relaxed RbIn11 crystal, from Alexandria.

Lattice parameters (Å, degrees): 8.5117 10.1504 10.1504 79.88 65.21 65.21
Atoms (fractional coordinates):
Rb1 0.5000 0.0000 0.0000
Rb2 0.2500 0.5000 0.5000
In1 0.4250 0.8252 0.4199
In2 0.6701 0.1748 0.5801
In3 0.0000 0.0000 0.0000
In4 0.7500 0.5000 0.5000
In5 0.3750 0.7500 0.7500
In6 0.8750 0.7500 0.2500
In7 0.8750 0.2500 0.7500
In8 0.8750 0.2500 0.2500
In9 0.4250 0.4199 0.8252
In10 0.0002 0.6748 0.9199
In11 0.5949 0.3252 0.0801
In12 0.6701 0.5801 0.1748
In13 0.7498 0.5801 0.8252
In14 0.1551 0.4199 0.1748
In15 0.0799 0.3252 0.9199
In16 0.3250 0.6748 0.0801
In17 0.3250 0.0801 0.6748
In18 0.7498 0.8252 0.5801
In19 0.1551 0.1748 0.4199
In20 0.0799 0.9199 0.3252
In21 0.0002 0.9199 0.6748
In22 0.5949 0.0801 0.3252

Values from the calculation:
For the total energy, the calculation gives -2.615 eV per atom. Its space group is No. 141. The energy of formation comes out at -0.024 eV/atom. The calculation puts the density of states at the Fermi level at 12.25 states/eV/cell. Its theoretical density is 6.20 g cm⁻³.